## Co2CuTc (meta-GGA SCAN)

Data for a PBEsol-optimized structure of Co2CuTc.

The structure in POSCAR format:
```
Co2CuTc
1.0
0.0000 2.8407 2.8407
2.8407 0.0000 2.8407
2.8407 2.8407 0.0000
Co Cu Tc
2 1 1
Cartesian
0.0000 0.0000 0.0000
1.4204 1.4204 1.4204
2.8407 2.8407 2.8407
4.2611 4.2611 4.2611
```

Properties
total energy = -83.522 eV/f.u.
DOS(E_F) = 4.5 states/eV/f.u.
energy above the most stable polymorph in this dataset = 98 meV per atom
formation energy from the elements = 336 meV per atom

***

## BeRhBr2 (meta-GGA SCAN)

Data for a PBEsol-optimized structure of BeRhBr2.

The structure in POSCAR format:
```
BeRhBr2
1.0
1.6458 0.9502 6.9905
-1.6458 0.9502 6.9905
0.0000 -1.9004 6.9905
Be Rh Br
1 1 2
Cartesian
0.0000 0.0000 0.0000
0.0000 0.0000 10.4857
0.0000 0.0000 5.5481
0.0000 0.0000 15.4233
```

Properties
total energy = -75.835 eV/f.u.
DOS(E_F) = 2.5 states/eV/f.u.
formation energy from raw total energies = 302 meV/atom